# 1
Crystalline Cs2H at its relaxed geometry. Source: the Alexandria database, functional PBE.

```
Cs2H
1.0
4.639 0.282 0.866
1.975 4.207 0.866
0.593 0.403 8.643
Cs H
2 1
direct
0.733 0.733 0.786
0.267 0.267 0.214
0.000 0.000 0.000
```

---

# 2
Crystalline In2PW at its relaxed geometry. Source: the Alexandria database, functional PBE.

```
In2PW
1.0
4.780 0.000 0.000
0.000 4.780 0.000
0.000 0.000 3.341
In P W
2 1 1
direct
0.000 0.000 0.000
0.500 0.500 0.000
0.500 0.000 0.500
0.000 0.500 0.500
```

Computed properties:
ΔH_f (0 K) in eV per atom: 0.74

---

# 3
Crystalline AlMoRu at its relaxed geometry. Source: the Alexandria database, functional PBE.

```
AlMoRu
1.0
-2.036 0.498 -3.716
-0.240 -3.716 2.083
-2.271 0.913 1.367
Ru Mo Al
1 1 1
direct
0.333 0.667 0.690
0.667 0.333 0.362
0.000 0.000 0.948
```

Computed properties:
ΔH_f (0 K) in eV per atom: -0.20

---

The records above yield total DFT energy (no corrections) values of -1.742 -5.217 -8.146 eV/atom, respectively.
The records above yield D(E_F) values of 1.43 3.56 2.17 states/eV/cell, respectively.